# 1
GGA-PBE CoAs2Pt, optimized geometry; space-group type = No. 25; M_tot = 0.00 μB/cell; energy above the lowest structure with this stoichiometry = 80 kJ/mol of formula units; D(E_F) = 2.882 states/eV per cell; volume = 62.72 Å³/cell; calculated total energy = -22.680 eV/cell
1.0
3.4957 0.0000 0.0000
0.0000 3.3573 -0.5557
0.0000 0.8621 5.2018
Pt Co As
1 1 2
Direct
0.5000 0.6250 0.7841
0.0000 0.1252 0.4608
0.0000 0.1250 0.9346
0.5000 0.6249 0.3205

# 2
GGA-PBE AcCeAsS, optimized geometry; formation energy without anion corrections = -1.57 eV/atom; space-group type = No. 160; M_tot = 1.30 μB/cell; D(E_F) = 8.101 states/eV per cell; volume = 114.49 Å³/cell; calculated total energy = -25.111 eV/cell
1.0
-4.1860 -0.0121 -0.1923
2.1739 -3.2735 -1.4560
1.7628 -2.1241 7.4102
Ac As Ce S
1 1 1 1
Direct
0.3078 0.5518 0.8749
0.1436 0.9698 0.1286
0.9631 0.3796 0.3578
0.4634 0.1296 0.6083

# 3
GGA-PBE AcTb2Y5, optimized geometry; space-group type = No. 55; M_tot = 0.00 μB/cell; energy above the lowest structure with this stoichiometry = 16 kJ/mol of formula units; D(E_F) = 21.901 states/eV per cell; volume = 537.09 Å³/cell; calculated total energy = -90.790 eV/cell
1.0
5.1029 0.0000 0.0000
0.0000 7.2510 0.0000
0.0000 0.0000 14.5155
Y Ac Tb
10 2 4
Direct
0.0000 0.5005 0.7472
0.0000 0.4995 0.2528
0.0000 0.0005 0.7528
0.0000 0.5000 0.5000
0.5000 0.7523 0.1279
0.5000 0.2523 0.3721
0.0000 0.0000 0.0000
0.5000 0.7477 0.6279
0.0000 0.9995 0.2472
0.5000 0.2477 0.8721
0.0000 0.0000 0.5000
0.0000 0.5000 0.0000
0.5000 0.7537 0.8723
0.5000 0.2463 0.1277
0.5000 0.2537 0.6277
0.5000 0.7463 0.3723

# 4
GGA-PBE Sm4DyTm7, optimized geometry; space-group type = No. 2; M_tot = 0.00 μB/cell; energy above the lowest structure with this stoichiometry = 0 kJ/mol of formula units; D(E_F) = 19.285 states/eV per cell; volume = 380.17 Å³/cell; calculated total energy = -53.707 eV/cell
1.0
-3.9496 0.9415 -5.4317
-5.5239 -2.5677 2.3036
-8.2687 8.0716 -2.1401
Tm Dy Sm
7 1 4
Direct
0.1995 0.4870 0.0484
0.9408 0.6812 0.3555
0.2768 0.8133 0.6173
0.8005 0.5130 0.9516
0.7232 0.1867 0.3827
0.5000 0.0000 0.0000
0.0592 0.3188 0.6445
0.0000 0.0000 0.0000
0.3072 0.1661 0.3087
0.4808 0.3609 0.7126
0.5192 0.6391 0.2874
0.6928 0.8339 0.6913